VASP calculation (PBE+U) on crystalline CoRhPb2O6 at its relaxed geometry.

energy: -5.77 eV/atom

Unit cell a=5.4809 b=5.4809 c=4.7350 alpha=90.00 beta=90.00 gamma=90.00
Last column: nearest neighbours and their distance in Å.
Space group P4mm (No. 99)
Unique sites:
Co: 0.0000 0.0000 0.0000  1 O 1.72
Rh: 0.5000 0.5000 0.0362  5 O 1.84-1.99
Pb: 0.0000 0.5000 0.4548  4 O 2.45
O: 0.0000 0.0000 0.6360  1 Co 1.72
O: 0.2510 0.2510 0.1378  1 Rh 1.99, 1 Co 2.05
O: 0.5000 0.5000 0.6484  1 Rh 1.84